1.
5
Lattice="5.521 0.000 0.000 0.000 5.521 0.000 0.000 0.000 5.521" Properties=species:S:1:pos:R:3 comment="Ga3SnCl, relaxed, DFT PBE" spacegroup="No. 221" de_polymorph_ev_per_atom=0.000 e_form_raw_ev_per_atom=0.237 total_energy_ev_per_atom=-2.7490 pbc="T T T"
Ga 0.000 0.000 2.761
Ga 0.000 2.761 0.000
Ga 2.761 0.000 0.000
Sn 0.000 0.000 0.000
Cl 2.761 2.761 2.761

2.
5
Lattice="4.804 0.000 0.000 0.000 4.804 0.000 0.000 0.000 5.068" Properties=species:S:1:pos:R:3 comment="HfMg2GaSi, relaxed, DFT PBE" spacegroup="No. 123" e_form_raw_ev_per_atom=0.276 total_energy_ev_per_atom=-4.0426 pbc="T T T"
Hf 0.000 0.000 0.000
Mg 0.000 2.402 2.534
Mg 2.402 0.000 2.534
Ga 2.402 2.402 0.000
Si 0.000 0.000 2.534